Record 1
VASP calculation (GGA-PBE) on a relaxed RbUMn2S6 crystal.

extended XYZ file:
```
20
Lattice="-0.657 -3.506 -6.701 -1.186 -8.579 2.200 -8.691 0.741 -1.941" Properties=species:S:1:pos:R:3 pbc="T T T"
Rb -1.970 -8.687 0.183
Rb -8.565 -2.657 -6.625
U -6.656 -2.867 -2.402
U -3.878 -8.477 -4.039
Mn -6.581 -7.512 -2.073
Mn -2.498 -3.479 -0.395
Mn -3.954 -3.832 -4.368
Mn -8.037 -7.865 -6.046
S -6.470 -0.322 -2.853
S -9.106 -2.600 -3.201
S -4.064 -11.022 -3.588
S -1.428 -8.745 -3.240
S -4.391 -7.636 -1.713
S -2.902 -5.573 0.229
S -6.143 -3.709 -4.728
S -7.633 -5.771 -6.671
S -7.196 -5.317 -1.463
S -3.993 -3.053 -2.171
S -3.338 -6.027 -4.979
S -6.541 -8.292 -4.270
```

SG = C2/c, No. 15
Uncorrected formation energy = -8.494 eV per formula unit

***

Record 2
VASP calculation (GGA-PBE) on a relaxed Rb2UMnS5 crystal.

extended XYZ file:
```
18
Lattice="4.046 0.000 0.000 -2.023 9.666 0.000 0.000 0.000 13.979" Properties=species:S:1:pos:R:3 pbc="T T T"
Rb 2.023 7.257 11.559
Rb 0.000 2.303 9.589
Rb 0.000 2.409 4.569
Rb 2.023 7.363 2.600
U 2.023 5.760 7.291
U 0.000 3.906 0.302
Mn 2.023 1.385 12.984
Mn 0.000 8.281 5.995
S 0.000 6.346 0.131
S 2.023 3.711 12.495
S 2.023 0.191 11.194
S 0.000 5.820 8.983
S 2.023 8.421 7.184
S 2.023 3.320 7.121
S 0.000 5.955 5.506
S 0.000 9.475 4.205
S 2.023 3.847 1.994
S 0.000 1.245 0.195
```

SG = Cmc2_1, No. 36
Uncorrected formation energy = -9.799 eV per formula unit